Entry 1:
The following is a PBE calculation of a relaxed structure of Li4Ni2BiP, from OQMD via LeMat-Bulk.

Size of the total moment in μB/cell: 0.00
E_tot in eV per cell: -31.46

Cell: 4.078 4.078 6.301 Å, 90.00 90.00 90.00°
Space group P-4m2 (No. 115)
Asymmetric unit:
Li (0.000, 0.000, 0.000) (multiplicity 1)
Li (0.000, 0.500, 0.211) (multiplicity 2)
Li (0.500, 0.500, 0.500) (multiplicity 1)
Ni (0.000, 0.500, 0.796) (multiplicity 2)
Bi (0.000, 0.000, 0.500) (multiplicity 1)
P (0.500, 0.500, 0.000) (multiplicity 1)

=====

Entry 2:
The following is a PBE calculation of a relaxed structure of LiNiBiPd, from OQMD via LeMat-Bulk.

Offset from the most stable computed form in kJ per mole of atoms: 1.2
Size of the total moment in μB/cell: 0.01

Cell: 6.393 6.393 6.393 Å, 90.00 90.00 90.00°
Space group F-43m (No. 216)
Asymmetric unit:
Li (0.000, 0.000, 0.000) (multiplicity 4)
Ni (0.250, 0.250, 0.750) (multiplicity 4)
Bi (0.000, 0.000, 0.500) (multiplicity 4)
Pd (0.250, 0.250, 0.250) (multiplicity 4)

=====

Entry 3:
The following is a PBE calculation of a relaxed structure of LiNiBiPd, from OQMD via LeMat-Bulk.

Offset from the most stable computed form in kJ per mole of atoms: 0.0
Size of the total moment in μB/cell: 0.02

Cell: 6.326 6.326 6.326 Å, 90.00 90.00 90.00°
Space group F-43m (No. 216)
Asymmetric unit:
Li (0.000, 0.000, 0.000) (multiplicity 4)
Ni (0.000, 0.000, 0.500) (multiplicity 4)
Bi (0.250, 0.250, 0.250) (multiplicity 4)
Pd (0.250, 0.250, 0.750) (multiplicity 4)

=====

Entry 4:
The following is a PBE calculation of a relaxed structure of LiNiBiPt, from OQMD via LeMat-Bulk.

Offset from the most stable computed form in kJ per mole of atoms: 0.0
Size of the total moment in μB/cell: 0.02

Cell: 6.324 6.324 6.324 Å, 90.00 90.00 90.00°
Space group F-43m (No. 216)
Asymmetric unit:
Li (0.000, 0.000, 0.000) (multiplicity 4)
Ni (0.000, 0.000, 0.500) (multiplicity 4)
Bi (0.250, 0.250, 0.250) (multiplicity 4)
Pt (0.250, 0.250, 0.750) (multiplicity 4)

=====

Entry 5:
The following is a PBE calculation of a relaxed structure of LiNiBiPt, from OQMD via LeMat-Bulk.

Offset from the most stable computed form in kJ per mole of atoms: 4.2
Size of the total moment in μB/cell: 0.02

Cell: 6.413 6.413 6.413 Å, 90.00 90.00 90.00°
Space group F-43m (No. 216)
Asymmetric unit:
Li (0.000, 0.000, 0.000) (multiplicity 4)
Ni (0.250, 0.250, 0.750) (multiplicity 4)
Bi (0.000, 0.000, 0.500) (multiplicity 4)
Pt (0.250, 0.250, 0.250) (multiplicity 4)

=====

Entry 6:
The following is a PBE calculation of a relaxed structure of LiScNiBi, from OQMD via LeMat-Bulk.

Offset from the most stable computed form in kJ per mole of atoms: 4.1
Size of the total moment in μB/cell: 0.01

Cell: 6.647 6.647 6.647 Å, 90.00 90.00 90.00°
Space group F-43m (No. 216)
Asymmetric unit:
Li (0.000, 0.000, 0.000) (multiplicity 4)
Sc (0.000, 0.000, 0.500) (multiplicity 4)
Ni (0.250, 0.250, 0.250) (multiplicity 4)
Bi (0.250, 0.250, 0.750) (multiplicity 4)